## NiB2Rh2 (PBE)

Data for a geometry-optimized NiB2Rh2 structure.

Output
DFT total energy	-7.0621	eV/atom
calculated formation energy	-28.4	kJ/mol of atoms
total magnetization	0.00	μB per formula unit
D(E_F)	6.03	states/eV/cell
SG	No. 15

a = 4.6551 Å, b = 4.6551 Å, c = 5.5032 Å
α = 102.25°, β = 102.25°, γ = 62.48°
Last column: nearest neighbours and their distance in Å.
Atoms (fractional coordinates):
1 Ni 0.0773 0.9227 0.7500  4 B 2.03-2.05
2 Ni 0.9227 0.0773 0.2500  4 B 2.03-2.05
3 B 0.0518 0.6666 0.9978  1 B 1.83, 2 Ni 2.03-2.05
4 B 0.3334 0.9482 0.5022  1 B 1.83, 2 Ni 2.03-2.05
5 B 0.6666 0.0518 0.4978  1 B 1.83, 2 Ni 2.03-2.05
6 B 0.9482 0.3334 0.0022  1 B 1.83, 2 Ni 2.03-2.05
7 Rh 0.2337 0.4532 0.3466  3 B 2.17-2.20
8 Rh 0.4532 0.2337 0.8466  3 B 2.17-2.20
9 Rh 0.5468 0.7663 0.1534  3 B 2.17-2.20
10 Rh 0.7663 0.5468 0.6534  3 B 2.17-2.20